Record 1
CaPm8In6, optimized geometry, DFT PBE; calculated volume = 490 Å³/cell; total energy = -60.1 eV/cell; formation energy from the elements = -0.244 eV per atom
1.0
9.267 0.000 0.000
4.634 8.026 0.000
4.634 2.675 6.582
In Pm Ca
6 8 1
direct
0.054 0.723 0.833 In
0.390 0.054 0.833 In
0.610 0.946 0.167 In
0.277 0.610 0.167 In
0.723 0.390 0.833 In
0.946 0.277 0.167 In
0.783 0.115 0.659 Pm
0.557 0.217 0.341 Pm
0.217 0.885 0.341 Pm
0.115 0.443 0.659 Pm
0.335 0.335 0.994 Pm
0.443 0.783 0.659 Pm
0.665 0.665 0.006 Pm
0.885 0.557 0.341 Pm
0.000 0.000 0.000 Ca

---

Record 2
CaPmIn4, optimized geometry, DFT PBE; calculated volume = 161 Å³/cell; total energy = -19.9 eV/cell; formation energy from the elements = -0.358 eV per atom; distance to the lowest polymorph of the same formula = 0.0530 eV per atom
1.0
-1.206 -1.834 -5.694
3.037 -4.722 -2.392
-2.865 -5.302 -0.955
In Ca Pm
4 1 1
direct
0.625 0.625 0.124 In
0.625 0.625 0.625 In
0.124 0.625 0.625 In
0.625 0.124 0.625 In
0.250 0.250 0.250 Ca
0.000 0.000 0.000 Pm

---

Record 3
CaPm12In3, optimized geometry, DFT PBE; calculated volume = 505 Å³/cell; total energy = -70.0 eV/cell; formation energy from the elements = -0.176 eV per atom
1.0
4.980 0.000 0.000
0.000 4.980 0.000
0.000 0.000 20.373
Pm In Ca
12 3 1
direct
0.500 0.500 0.256 Pm
0.500 0.500 0.744 Pm
0.000 0.500 0.378 Pm
0.500 0.000 0.864 Pm
0.500 0.000 0.622 Pm
0.000 0.500 0.622 Pm
0.500 0.500 0.000 Pm
0.000 0.500 0.136 Pm
0.500 0.000 0.378 Pm
0.500 0.000 0.136 Pm
0.500 0.500 0.500 Pm
0.000 0.500 0.864 Pm
0.000 0.000 0.500 In
0.000 0.000 0.742 In
0.000 0.000 0.258 In
0.000 0.000 0.000 Ca

---

Record 4
CaPm7In4, optimized geometry, DFT PBE; calculated volume = 384 Å³/cell; total energy = -47.8 eV/cell; formation energy from the elements = -0.128 eV per atom
1.0
-1.690 -3.433 -4.394
5.786 -7.770 -0.018
-4.936 -5.485 2.321
Pm In Ca
7 4 1
direct
0.691 0.377 0.240 Pm
0.058 0.621 0.263 Pm
0.500 0.000 0.000 Pm
0.787 0.876 0.550 Pm
0.309 0.623 0.760 Pm
0.942 0.379 0.737 Pm
0.213 0.124 0.450 Pm
0.437 0.771 0.356 In
0.686 0.670 0.958 In
0.563 0.229 0.644 In
0.314 0.330 0.042 In
0.000 0.000 0.000 Ca

---

Record 5
Ca2Pm3In3, optimized geometry, DFT PBE; calculated volume = 244 Å³/cell; total energy = -28.9 eV/cell; formation energy from the elements = -0.305 eV per atom
1.0
-2.573 3.019 -2.186
1.835 -1.649 -4.439
-7.467 -7.797 2.715
Pm In Ca
3 3 2
direct
0.500 0.000 0.000 Pm
0.614 0.614 0.228 Pm
0.386 0.386 0.772 Pm
0.000 0.500 0.000 In
0.874 0.874 0.749 In
0.126 0.126 0.251 In
0.259 0.759 0.519 Ca
0.741 0.241 0.481 Ca

---

Record 6
CaPm4In4, optimized geometry, DFT PBE; calculated volume = 538 Å³/cell; total energy = -69.1 eV/cell; formation energy from the elements = -0.286 eV per atom
1.0
-4.861 0.158 3.850
-2.590 -8.454 -2.924
5.173 -3.899 6.691
Pm In Ca
8 8 2
direct
0.369 0.424 0.836 Pm
0.631 0.164 0.424 Pm
0.869 0.664 0.924 Pm
0.131 0.924 0.336 Pm
0.131 0.076 0.664 Pm
0.869 0.336 0.076 Pm
0.369 0.576 0.164 Pm
0.631 0.836 0.576 Pm
0.383 0.203 0.103 In
0.617 0.897 0.203 In
0.383 0.797 0.897 In
0.117 0.703 0.603 In
0.883 0.397 0.703 In
0.117 0.297 0.397 In
0.883 0.603 0.297 In
0.617 0.103 0.797 In
0.500 0.500 0.500 Ca
0.000 0.000 0.000 Ca

---

Record 7
CaPmIn4, optimized geometry, DFT PBE; calculated volume = 162 Å³/cell; total energy = -20.2 eV/cell; formation energy from the elements = -0.411 eV per atom; distance to the lowest polymorph of the same formula = 0.0000 eV per atom
1.0
3.715 0.000 0.010
0.000 4.999 0.000
-0.038 0.000 8.705
Pm In Ca
1 4 1
direct
0.500 0.500 0.500 Pm
0.977 0.000 0.334 In
0.020 0.500 0.167 In
0.980 0.500 0.833 In
0.023 0.000 0.666 In
0.500 0.000 0.000 Ca

---

Record 8
CaPm2In9, optimized geometry, DFT PBE; calculated volume = 313 Å³/cell; total energy = -41.1 eV/cell; formation energy from the elements = -0.417 eV per atom
1.0
4.708 0.000 0.000
0.000 4.708 0.000
0.000 0.000 14.109
In Ca Pm
9 1 2
direct
0.000 0.500 0.834 In
0.000 0.500 0.166 In
0.500 0.000 0.834 In
0.500 0.500 0.334 In
0.500 0.000 0.500 In
0.000 0.500 0.500 In
0.500 0.500 0.666 In
0.500 0.000 0.166 In
0.500 0.500 0.000 In
0.000 0.000 0.000 Ca
0.000 0.000 0.335 Pm
0.000 0.000 0.665 Pm

---

Record 9
CaPmIn3, optimized geometry, DFT PBE; calculated volume = 603 Å³/cell; total energy = -66.5 eV/cell; formation energy from the elements = -0.330 eV per atom
1.0
-9.327 -3.050 2.184
1.225 -6.929 -4.444
3.083 -6.809 3.659
In Pm Ca
12 4 4
direct
0.000 0.087 0.706 In
0.000 0.294 0.913 In
0.500 0.706 0.088 In
0.000 0.704 0.704 In
0.500 0.704 0.704 In
0.000 0.706 0.087 In
0.000 0.296 0.296 In
0.500 0.087 0.706 In
0.500 0.296 0.296 In
0.500 0.913 0.294 In
0.000 0.913 0.294 In
0.500 0.294 0.912 In
0.750 0.000 0.500 Pm
0.750 0.500 0.000 Pm
0.250 0.500 0.000 Pm
0.250 0.000 0.500 Pm
0.250 0.499 0.501 Ca
0.750 0.501 0.499 Ca
0.750 0.001 0.999 Ca
0.250 0.999 0.001 Ca

---

Record 10
CaPm2In4, optimized geometry, DFT PBE; calculated volume = 212 Å³/cell; total energy = -24.6 eV/cell; formation energy from the elements = -0.303 eV per atom
1.0
5.058 0.000 -1.612
-0.514 5.031 -1.614
-0.110 -0.123 8.395
Pm In Ca
2 4 1
direct
0.251 0.251 0.503 Pm
0.749 0.749 0.497 Pm
0.887 0.387 0.775 In
0.387 0.888 0.775 In
0.113 0.613 0.225 In
0.613 0.112 0.225 In
0.000 0.000 0.000 Ca

---

Record 11
CaPmPrIn, optimized geometry, DFT PBE; calculated volume = 126 Å³/cell; total energy = -15.1 eV/cell; formation energy from the elements = -0.197 eV per atom
1.0
5.626 0.000 0.000
2.813 4.872 0.000
2.813 1.624 4.594
Pr Ca In Pm
1 1 1 1
direct
0.500 0.500 0.500 Pr
0.750 0.750 0.750 Ca
0.250 0.250 0.250 In
0.000 0.000 0.000 Pm

---

Record 12
CaPmInPt, optimized geometry, DFT PBE; calculated volume = 100 Å³/cell; total energy = -18.2 eV/cell; formation energy from the elements = -0.665 eV per atom
1.0
-2.523 -1.326 -4.361
2.564 -0.210 -4.531
0.935 -4.604 -2.253
Ca In Pt Pm
1 1 1 1
direct
0.750 0.750 0.750 Ca
0.000 0.000 0.000 In
0.500 0.500 0.500 Pt
0.250 0.250 0.250 Pm

---

Record 13
CaPmScIn, optimized geometry, DFT PBE; calculated volume = 112 Å³/cell; total energy = -16.3 eV/cell; formation energy from the elements = -0.127 eV per atom
1.0
5.416 0.000 0.000
2.708 4.690 0.000
2.708 1.563 4.422
Pm Ca In Sc
1 1 1 1
direct
0.750 0.750 0.750 Pm
0.000 0.000 0.000 Ca
0.500 0.500 0.500 In
0.250 0.250 0.250 Sc

---

Record 14
CaPmIn2Se4, optimized geometry, DFT PBE; calculated volume = 228 Å³/cell; total energy = -35.6 eV/cell
1.0
-0.492 -0.036 4.210
-0.699 -7.651 -0.147
6.713 -2.982 0.759
Se Pm Ca In
4 1 1 2
direct
0.000 0.732 0.748 Se
0.500 0.728 0.264 Se
0.000 0.268 0.252 Se
0.500 0.272 0.736 Se
0.000 0.500 0.500 Pm
0.500 0.500 0.000 Ca
0.500 0.000 0.500 In
0.000 0.000 0.000 In

---

Record 15
CaPmSmIn, optimized geometry, DFT PBE; calculated volume = 123 Å³/cell; total energy = -14.9 eV/cell; formation energy from the elements = -0.183 eV per atom
1.0
-1.128 -3.695 4.029
0.942 -5.435 -0.854
4.170 -2.565 2.682
Sm In Pm Ca
1 1 1 1
direct
0.500 0.500 0.500 Sm
0.250 0.250 0.250 In
0.000 0.000 0.000 Pm
0.750 0.750 0.750 Ca

---

Record 16
CaPmInSn, optimized geometry, DFT PBE; calculated volume = 114 Å³/cell; total energy = -15.6 eV/cell; formation energy from the elements = -0.525 eV per atom
1.0
5.446 0.000 0.000
2.723 4.716 0.000
2.723 1.572 4.446
Ca In Pm Sn
1 1 1 1
direct
0.500 0.500 0.500 Ca
0.250 0.250 0.250 In
0.000 0.000 0.000 Pm
0.750 0.750 0.750 Sn

---

Record 17
CaTbPmIn, optimized geometry, DFT PBE; calculated volume = 121 Å³/cell; total energy = -14.8 eV/cell; formation energy from the elements = -0.166 eV per atom
1.0
-1.155 1.398 5.245
-4.444 -2.154 2.531
0.654 -3.716 4.070
In Pm Ca Tb
1 1 1 1
direct
0.250 0.250 0.250 In
0.000 0.000 0.000 Pm
0.750 0.750 0.750 Ca
0.500 0.500 0.500 Tb

---

Record 18
CaPmIn2Te4, optimized geometry, DFT PBE; calculated volume = 271 Å³/cell; total energy = -32.2 eV/cell
1.0
4.484 0.000 0.000
0.000 8.163 -0.299
0.000 2.737 7.313
Te In Ca Pm
4 2 1 1
direct
0.500 0.736 0.260 Te
0.000 0.739 0.748 Te
0.500 0.264 0.740 Te
0.000 0.261 0.252 Te
0.000 0.000 0.000 In
0.500 0.000 0.500 In
0.500 0.500 0.000 Ca
0.000 0.500 0.500 Pm

---

Record 19
CaPmTlIn, optimized geometry, DFT PBE; calculated volume = 116 Å³/cell; total energy = -13.6 eV/cell; formation energy from the elements = -0.429 eV per atom
1.0
5.474 0.000 0.000
2.737 4.740 0.000
2.737 1.580 4.469
Tl Ca Pm In
1 1 1 1
direct
0.250 0.250 0.250 Tl
0.000 0.000 0.000 Ca
0.500 0.500 0.500 Pm
0.750 0.750 0.750 In

---

Record 20
CaPmTmIn, optimized geometry, DFT PBE; calculated volume = 119 Å³/cell; total energy = -14.5 eV/cell; formation energy from the elements = -0.139 eV per atom
1.0
-1.632 4.277 3.079
-4.253 3.111 -1.634
-4.793 -0.231 2.722
Pm In Tm Ca
1 1 1 1
direct
0.500 0.500 0.500 Pm
0.250 0.250 0.250 In
0.000 0.000 0.000 Tm
0.750 0.750 0.750 Ca